Computed, not measured: crystalline PmSm6Ho at its relaxed geometry at the PBE level of DFT.

Structure (POSCAR):
```
PmSm6Ho
1.0
5.114 0.000 0.000
0.000 5.114 0.000
0.000 0.000 10.224
Pm Sm Ho
1 6 1
Direct
0.000 0.000 0.000
0.000 0.500 0.252
0.000 0.500 0.748
0.500 0.000 0.252
0.500 0.000 0.748
0.500 0.500 0.000
0.500 0.500 0.500
0.000 0.000 0.500
```

N(E_F): 13.20 states/eV/f.u.
energy: -4.69 eV/atom
formation energy from the elements: 0.019 eV per atom

=====

Computed, not measured: crystalline Pm3Sm7Ho2 at its relaxed geometry at the PBE level of DFT.

Structure (POSCAR):
```
Pm3Sm7Ho2
1.0
3.297 1.903 11.307
-3.297 1.903 11.307
0.000 -3.807 11.307
Pm Sm Ho
3 7 2
Direct
0.000 0.000 0.000
0.153 0.153 0.153
0.847 0.847 0.847
0.080 0.586 0.586
0.414 0.414 0.920
0.414 0.920 0.414
0.500 0.500 0.500
0.586 0.080 0.586
0.586 0.586 0.080
0.920 0.414 0.414
0.334 0.334 0.334
0.666 0.666 0.666
```

N(E_F): 20.26 states/eV/f.u.
energy: -4.42 eV/atom
formation energy from the elements: 0.285 eV per atom

=====

Q: What is the formula in the first record?
A: PmSm6Ho

=====

Q: What is the formula in the second record?
A: Pm3Sm7Ho2

=====

Q: Which of these has the highest N(E_F)?
A: Pm3Sm7Ho2

=====

Q: Look up the formation energy from the elements of the second one.
A: 0.285 eV per atom